# 1
Material: HfThSc2
Method: DFT, PBE
State: optimized geometry

Cell and atoms, written as CIF:
```
data_HfThSc2
_cell_length_a 3.840
_cell_length_b 3.840
_cell_length_c 6.898
_cell_angle_alpha 90.00
_cell_angle_beta 90.00
_cell_angle_gamma 90.00
_space_group_name_H-M_alt 'P 4/m m m'
_space_group_IT_number 123
_space_group_name_Hall '-P 4 2'
loop_
_atom_site_label
_atom_site_type_symbol
_atom_site_fract_x
_atom_site_fract_y
_atom_site_fract_z
_atom_site_occupancy
Hf1 Hf 0.000 0.000 0.000 1
Th1 Th 0.000 0.000 0.500 1
Sc1 Sc 0.500 0.500 0.231 1
```

Summary:
- Total moment: 0.00 μB/f.u.
- Crystal system: tetragonal
- DFT formation energy: 143.7 meV per atom
- Mass density: 8.2 g cm⁻³

***

# 2
Material: Hf2ThSc4
Method: DFT, PBE
State: optimized geometry

Cell and atoms, written as CIF:
```
data_Hf2ThSc4
_cell_length_a 5.700
_cell_length_b 3.286
_cell_length_c 18.609
_cell_angle_alpha 90.00
_cell_angle_beta 95.96
_cell_angle_gamma 90.00
_space_group_name_H-M_alt 'C 1 m 1'
_space_group_IT_number 8
loop_
_space_group_symop_operation_xyz
'x,y,z'
'x,-y,z'
'x+1/2,y+1/2,z'
'x+1/2,-y+1/2,z'
loop_
_atom_site_label
_atom_site_type_symbol
_atom_site_fract_x
_atom_site_fract_y
_atom_site_fract_z
_atom_site_occupancy
Hf1 Hf 0.000 0.000 0.000 1
Hf2 Hf 0.093 0.000 0.275 1
Th1 Th 0.185 0.000 0.568 1
Sc1 Sc 0.287 0.000 0.866 1
Sc2 Sc 0.304 0.500 0.410 1
Sc3 Sc 0.377 0.000 0.137 1
Sc4 Sc 0.410 0.500 0.723 1
```

Summary:
- Total moment: 0.01 μB/f.u.
- Crystal system: monoclinic
- DFT formation energy: 54.2 meV per atom
- Mass density: 7.4 g cm⁻³

***

# 3
Material: HfThSc2
Method: DFT, PBE
State: optimized geometry

Cell and atoms, written as CIF:
```
data_HfThSc2
_cell_length_a 3.3071
_cell_length_b 3.3071
_cell_length_c 32.5207
_cell_angle_alpha 90.00
_cell_angle_beta 90.00
_cell_angle_gamma 120.00
_space_group_name_H-M_alt 'R -3 m'
_space_group_IT_number 166
_space_group_name_Hall '-R 3 2"'
loop_
_atom_site_label
_atom_site_type_symbol
_atom_site_fract_x
_atom_site_fract_y
_atom_site_fract_z
_atom_site_occupancy
Hf1 Hf 0.0000 0.0000 0.0000 1
Th1 Th 0.0000 0.0000 0.5000 1
Sc1 Sc 0.0000 0.0000 0.2557 1
```

Summary:
- Total moment: 0.00 μB/f.u.
- Crystal system: trigonal
- DFT formation energy: 89.6 meV per atom
- Mass density: 8.1 g cm⁻³

***

# 4
Material: Hf2Th2Sc7
Method: DFT, PBE
State: optimized geometry

Cell and atoms, written as CIF:
```
data_Hf2Th2Sc7
_cell_length_a 8.198
_cell_length_b 8.661
_cell_length_c 8.228
_cell_angle_alpha 90.00
_cell_angle_beta 102.72
_cell_angle_gamma 90.00
_space_group_name_H-M_alt 'C 1 2/m 1'
_space_group_IT_number 12
loop_
_space_group_symop_operation_xyz
'x,y,z'
'-x,-y,-z'
'-x,y,-z'
'x,-y,z'
'x+1/2,y+1/2,z'
'-x+1/2,-y+1/2,-z'
'-x+1/2,y+1/2,-z'
'x+1/2,-y+1/2,z'
loop_
_atom_site_label
_atom_site_type_symbol
_atom_site_fract_x
_atom_site_fract_y
_atom_site_fract_z
_atom_site_occupancy
Hf1 Hf 0.000 0.173 0.000 1
Th1 Th 0.112 0.000 0.356 1
Sc1 Sc 0.000 0.500 0.500 1
Sc2 Sc 0.148 0.500 0.911 1
Sc3 Sc 0.235 0.182 0.719 1
```

Summary:
- Total moment: 0.00 μB/f.u.
- Crystal system: monoclinic
- DFT formation energy: 148.2 meV per atom
- Mass density: 6.6 g cm⁻³

***

# 5
Material: HfThScTi
Method: DFT, PBE
State: optimized geometry

Cell and atoms, written as CIF:
```
data_HfThScTi
_cell_length_a 7.184
_cell_length_b 7.184
_cell_length_c 7.184
_cell_angle_alpha 90.00
_cell_angle_beta 90.00
_cell_angle_gamma 90.00
_space_group_name_H-M_alt 'F -4 3 m'
_space_group_IT_number 216
_space_group_name_Hall 'F -4 2 3'
loop_
_atom_site_label
_atom_site_type_symbol
_atom_site_fract_x
_atom_site_fract_y
_atom_site_fract_z
_atom_site_occupancy
Hf1 Hf 0.000 0.000 0.000 1
Th1 Th 0.000 0.000 0.500 1
Sc1 Sc 0.250 0.250 0.750 1
Ti1 Ti 0.250 0.250 0.250 1
```

Summary:
- Total moment: 0.00 μB/f.u.
- Crystal system: cubic
- DFT formation energy: 148.6 meV per atom
- Mass density: 9.0 g cm⁻³

***

# 6
Material: YHfThSc
Method: DFT, PBE
State: optimized geometry

Cell and atoms, written as CIF:
```
data_YHfThSc
_cell_length_a 7.580
_cell_length_b 7.580
_cell_length_c 7.580
_cell_angle_alpha 90.00
_cell_angle_beta 90.00
_cell_angle_gamma 90.00
_space_group_name_H-M_alt 'F -4 3 m'
_space_group_IT_number 216
_space_group_name_Hall 'F -4 2 3'
loop_
_atom_site_label
_atom_site_type_symbol
_atom_site_fract_x
_atom_site_fract_y
_atom_site_fract_z
_atom_site_occupancy
Y1 Y 0.000 0.000 0.000 1
Hf1 Hf 0.250 0.250 0.250 1
Th1 Th 0.000 0.000 0.500 1
Sc1 Sc 0.250 0.250 0.750 1
```

Summary:
- Total moment: 0.00 μB/f.u.
- Crystal system: cubic
- DFT formation energy: 145.7 meV per atom
- Mass density: 8.3 g cm⁻³

***

# 7
Material: HfThZrSc
Method: DFT, PBE
State: optimized geometry

Cell and atoms, written as CIF:
```
data_HfThZrSc
_cell_length_a 7.351
_cell_length_b 7.351
_cell_length_c 7.351
_cell_angle_alpha 90.00
_cell_angle_beta 90.00
_cell_angle_gamma 90.00
_space_group_name_H-M_alt 'F -4 3 m'
_space_group_IT_number 216
_space_group_name_Hall 'F -4 2 3'
loop_
_atom_site_label
_atom_site_type_symbol
_atom_site_fract_x
_atom_site_fract_y
_atom_site_fract_z
_atom_site_occupancy
Hf1 Hf 0.000 0.000 0.000 1
Th1 Th 0.250 0.250 0.750 1
Zr1 Zr 0.250 0.250 0.250 1
Sc1 Sc 0.000 0.000 0.500 1
```

Summary:
- Total moment: 0.00 μB/f.u.
- Crystal system: cubic
- DFT formation energy: 115.9 meV per atom
- Mass density: 9.1 g cm⁻³

***

# 8
Material: HfThZr4Sc2
Method: DFT, PBE
State: optimized geometry

Cell and atoms, written as CIF:
```
data_HfThZr4Sc2
_cell_length_a 5.351
_cell_length_b 5.352
_cell_length_c 6.761
_cell_angle_alpha 90.00
_cell_angle_beta 90.07
_cell_angle_gamma 90.00
_space_group_name_H-M_alt 'P 1 2/m 1'
_space_group_IT_number 10
loop_
_space_group_symop_operation_xyz
'x,y,z'
'-x,-y,-z'
'-x,y,-z'
'x,-y,z'
loop_
_atom_site_label
_atom_site_type_symbol
_atom_site_fract_x
_atom_site_fract_y
_atom_site_fract_z
_atom_site_occupancy
Hf1 Hf 0.000 0.000 0.000 1
Th1 Th 0.500 0.500 0.500 1
Zr1 Zr 0.001 0.500 0.774 1
Zr2 Zr 0.499 0.000 0.775 1
Sc1 Sc 0.000 0.000 0.500 1
Sc2 Sc 0.500 0.500 0.000 1
```

Summary:
- Total moment: 0.00 μB/f.u.
- Crystal system: monoclinic
- DFT formation energy: 102.8 meV per atom
- Mass density: 7.4 g cm⁻³

***

# 9
Material: HfSc2Ti2
Method: DFT, PBE
State: optimized geometry

Cell and atoms, written as CIF:
```
data_HfSc2Ti2
_cell_length_a 7.922
_cell_length_b 7.922
_cell_length_c 3.320
_cell_angle_alpha 90.00
_cell_angle_beta 90.00
_cell_angle_gamma 90.00
_space_group_name_H-M_alt 'P 4/m b m'
_space_group_IT_number 127
_space_group_name_Hall '-P 4 2ab'
loop_
_atom_site_label
_atom_site_type_symbol
_atom_site_fract_x
_atom_site_fract_y
_atom_site_fract_z
_atom_site_occupancy
Hf1 Hf 0.000 0.000 0.000 1
Sc1 Sc 0.173 0.327 0.500 1
Ti1 Ti 0.123 0.623 0.000 1
```

Summary:
- Total moment: 0.00 μB/f.u.
- Crystal system: tetragonal
- DFT formation energy: 189.7 meV per atom
- Mass density: 5.8 g cm⁻³

***

# 10
Material: Hf2Sc2Ti
Method: DFT, PBE
State: optimized geometry

Cell and atoms, written as CIF:
```
data_Hf2Sc2Ti
_cell_length_a 7.423
_cell_length_b 7.423
_cell_length_c 4.071
_cell_angle_alpha 90.00
_cell_angle_beta 90.00
_cell_angle_gamma 90.00
_space_group_name_H-M_alt 'P 4/m b m'
_space_group_IT_number 127
_space_group_name_Hall '-P 4 2ab'
loop_
_atom_site_label
_atom_site_type_symbol
_atom_site_fract_x
_atom_site_fract_y
_atom_site_fract_z
_atom_site_occupancy
Hf1 Hf 0.142 0.358 0.000 1
Sc1 Sc 0.155 0.655 0.500 1
Ti1 Ti 0.000 0.000 0.000 1
```

Summary:
- Total moment: 0.09 μB/f.u.
- Crystal system: tetragonal
- DFT formation energy: 332.9 meV per atom
- Mass density: 7.3 g cm⁻³

***

# 11
Material: Hf4ScTi
Method: DFT, PBE
State: optimized geometry

Cell and atoms, written as CIF:
```
data_Hf4ScTi
_cell_length_a 9.543
_cell_length_b 5.489
_cell_length_c 5.906
_cell_angle_alpha 90.00
_cell_angle_beta 122.71
_cell_angle_gamma 90.00
_space_group_name_H-M_alt 'C 1 2 1'
_space_group_IT_number 5
loop_
_space_group_symop_operation_xyz
'x,y,z'
'-x,y,-z'
'x+1/2,y+1/2,z'
'-x+1/2,y+1/2,-z'
loop_
_atom_site_label
_atom_site_type_symbol
_atom_site_fract_x
_atom_site_fract_y
_atom_site_fract_z
_atom_site_occupancy
Hf1 Hf 0.162 0.000 0.498 1
Hf2 Hf 0.172 0.836 0.007 1
Sc1 Sc 0.000 0.344 0.000 1
Ti1 Ti 0.000 0.515 0.500 1
```

Summary:
- Total moment: 0.00 μB/f.u.
- Crystal system: monoclinic
- DFT formation energy: 13.5 meV per atom
- Mass density: 10.3 g cm⁻³

***

# 12
Material: HfSc2Ti
Method: DFT, PBE
State: optimized geometry

Cell and atoms, written as CIF:
```
data_HfSc2Ti
_cell_length_a 3.1162
_cell_length_b 3.1162
_cell_length_c 30.9251
_cell_angle_alpha 90.00
_cell_angle_beta 90.00
_cell_angle_gamma 120.00
_space_group_name_H-M_alt 'R -3 m'
_space_group_IT_number 166
_space_group_name_Hall '-R 3 2"'
loop_
_atom_site_label
_atom_site_type_symbol
_atom_site_fract_x
_atom_site_fract_y
_atom_site_fract_z
_atom_site_occupancy
Hf1 Hf 0.0000 0.0000 0.0000 1
Sc1 Sc 0.0000 0.0000 0.2468 1
Ti1 Ti 0.0000 0.0000 0.5000 1
```

Summary:
- Total moment: 0.00 μB/f.u.
- Crystal system: trigonal
- DFT formation energy: 121.5 meV per atom
- Mass density: 6.1 g cm⁻³